(1)
A plane-wave DFT calculation with PBE-GGA was carried out for an optimized crystal structure of Si2Ni4Pt.

```
Si2Ni4Pt
1.0
-0.6969 3.3688 1.3874
-5.7391 0.2939 -3.5966
-3.3763 -2.8224 5.1570
Ni Si Pt
8 4 2
Cartesian
-7.4844 -1.5982 0.1209
-6.8856 -2.3878 2.3390
-2.2298 -0.1406 -0.7786
-4.2517 1.4005 -0.5776
-5.5607 -0.5601 3.5254
-3.2509 0.0806 3.1300
-6.5615 0.7598 -0.1822
-1.6311 -0.9303 1.4395
-6.9837 -0.1561 1.8295
-2.8287 0.9964 1.1183
-5.2006 -0.4163 -1.6016
-3.9148 -2.1121 3.1620
-0.3485 1.6844 0.6937
-4.5577 -1.2642 0.7802
```

Computed properties:
Its symmetry is No. 136.

(2)
A plane-wave DFT calculation with PBE-GGA was carried out for an optimized crystal structure of Mo2As.

```
Mo2As
1.0
-5.8685 -1.9173 -3.5545
5.8656 -1.2763 3.8359
-2.2402 0.3130 3.5297
Mo As
4 2
Cartesian
-3.4679 -1.6773 -0.8074
0.4597 -1.4628 1.6663
-2.7027 -1.4178 2.1448
1.2249 -1.2033 4.6186
4.2545 -1.2555 4.0563
-6.4975 -1.6251 -0.2452
```

Computed properties:
Its symmetry is No. 63. For the formation energy, the calculation gives 0.01 eV/atom.

(3)
A plane-wave DFT calculation with PBE-GGA was carried out for an optimized crystal structure of KCu2Ni.

```
KCu2Ni
1.0
-0.4026 -3.8108 4.3718
4.7990 -2.5067 2.1173
-3.4855 4.5372 -1.0303
Cu Ni K
2 1 1
Cartesian
0.0139 -0.0200 0.0205
-0.6608 -1.4808 3.5649
1.5664 -0.2920 1.8862
2.1895 -3.1463 3.2317
```

Computed properties:
Its symmetry is No. 44. For the formation energy, the calculation gives 0.60 eV/atom.

(4)
A plane-wave DFT calculation with PBE-GGA was carried out for an optimized crystal structure of CuNiSe2.

```
CuNiSe2
1.0
-3.1620 1.5970 0.6647
0.4814 -1.8396 -3.0618
-2.0833 -5.3183 2.8677
Se Cu Ni
2 1 1
Cartesian
-2.4016 -0.7077 0.0476
-2.4105 -4.9763 0.4894
-1.6516 -3.0389 -0.5553
-2.0644 -5.2700 2.8416
```

Computed properties:
Its symmetry is No. 156.

(5)
A plane-wave DFT calculation with PBE-GGA was carried out for an optimized crystal structure of Pr2GaNi7.

```
Pr2GaNi7
1.0
3.9017 0.0000 0.0000
0.0000 3.9017 0.0000
0.0000 0.0000 10.4017
Ni Pr Ga
7 2 1
Cartesian
1.9508 0.0000 3.7867
0.0000 0.0000 0.0000
0.0000 0.0000 5.2008
1.9508 0.0000 1.4395
0.0000 1.9508 6.6150
1.9508 1.9508 5.2008
0.0000 1.9508 8.9622
1.9508 0.0000 7.6526
0.0000 1.9508 2.7490
1.9508 1.9508 0.0000
```

Computed properties:
Its symmetry is No. 115. For the formation energy, the calculation gives -0.24 eV/atom.

(6)
A plane-wave DFT calculation with PBE-GGA was carried out for an optimized crystal structure of Rb3Pm2InS6.

```
Rb3Pm2InS6
1.0
7.1392 -0.0013 -0.0011
-3.5690 6.1831 -0.0011
-1.1918 -2.0636 7.7218
Rb Pm S In
3 2 6 1
Cartesian
4.7445 0.0057 3.8598
-2.3661 4.1124 3.8598
1.1892 2.0591 3.8598
3.5675 2.0615 -0.0011
0.0027 4.1203 -0.0011
2.2942 -0.0009 1.4952
3.5257 2.1314 6.2244
-1.1473 1.9867 1.4952
2.4222 4.1941 1.4996
-0.0439 -0.0759 6.2200
0.0842 4.1190 6.2244
0.0000 0.0000 0.0000
```

Computed properties:
Its symmetry is No. 12.

(7)
A plane-wave DFT calculation with PBE-GGA was carried out for an optimized crystal structure of FeNi2Rh.

```
FeNi2Rh
1.0
-1.4302 -2.0527 -0.8514
0.9384 -2.1925 3.7096
-2.7650 0.1032 4.3960
Ni Rh Fe
2 1 1
Cartesian
0.0000 0.0000 0.0000
-0.2459 -2.1226 1.4291
-1.6284 -2.0710 3.6271
-1.3825 0.0516 2.1980
```

Computed properties:
Its symmetry is No. 10. For the formation energy, the calculation gives 0.00 eV/atom.

(8)
A plane-wave DFT calculation with PBE-GGA was carried out for an optimized crystal structure of MnZn2Fe.

```
MnZn2Fe
1.0
6.7590 0.0000 0.0000
0.0000 6.7590 0.0000
3.3795 3.3795 2.5578
Zn Fe Mn
4 2 2
Cartesian
5.0693 5.0101 1.9184
5.1284 1.6898 0.6395
1.6306 5.0693 0.6395
8.4488 8.5079 1.9184
0.0000 0.0000 0.0000
6.7590 3.3795 1.2789
3.3795 6.7590 1.2789
3.3795 3.3795 0.0000
```

Computed properties:
Its symmetry is No. 122. For the formation energy, the calculation gives 0.43 eV/atom.

Results for calculated total energy: -85.55 -52.58 -12.67 -17.31 -55.42 -57.64 -27.39 -36.92 (in eV for the cell shown, following the order of the records).